Record 1
Material: La5PrSmHo2
Method: DFT, PBE
State: optimized geometry

Lattice parameters (Å, degrees): 5.7968 20.8215 10.7315 90.00 90.00 90.00
Space group Cmc2_1 (No. 36)
Symmetry-distinct sites (fractional):
1 La 0.0000 0.0158 0.0000
2 La 0.0000 0.2787 0.3002
3 La 0.0000 0.2958 0.6896
4 La 0.0000 0.3857 0.0060
5 La 0.0000 0.4809 0.7259
6 Pr 0.0000 0.4110 0.4355
7 Sm 0.0000 0.1973 0.9963
8 Ho 0.0000 0.1153 0.7176
9 Ho 0.0000 0.1161 0.2989

The value obtained for the electronic total energy is -4.6731 eV/atom. The formation energy comes out at 13 kJ per mole of atoms. The size of the total moment is 0.0000 μB per atom.



Record 2
Material: La4Pr2Sm2Ho
Method: DFT, PBE
State: optimized geometry

Lattice parameters (Å, degrees): 15.6866 5.2341 8.2156 90.00 108.69 90.00
Space group C2/m (No. 12)
Symmetry-distinct sites (fractional):
1 La 0.0547 0.0000 0.3295
2 La 0.2221 0.5000 0.3308
3 Pr 0.1120 0.5000 0.6705
4 Sm 0.1660 0.0000 0.0004
5 Ho 0.0000 0.5000 0.0000

The value obtained for the electronic total energy is -4.7889 eV/atom. The formation energy comes out at 2 kJ per mole of atoms. The size of the total moment is 0.0000 μB per atom.



Record 3
Material: LaPr2Sm4Ho2
Method: DFT, PBE
State: optimized geometry

Lattice parameters (Å, degrees): 6.1311 6.7497 8.8274 79.69 70.01 64.68
Space group P-1 (No. 2)
Symmetry-distinct sites (fractional):
1 La 0.0000 0.0000 0.0000
2 Pr 0.2644 0.6750 0.6537
3 Sm 0.2674 0.4176 0.1200
4 Sm 0.3802 0.8666 0.2431
5 Ho 0.1842 0.2298 0.5515

The value obtained for the electronic total energy is -4.6556 eV/atom. The formation energy comes out at 7 kJ per mole of atoms. The size of the total moment is 0.0001 μB per atom.



Record 4
Material: La2Pr4SmHo
Method: DFT, PBE
State: optimized geometry

Lattice parameters (Å, degrees): 5.1984 5.2189 10.4723 90.00 90.11 90.00
Space group P2/m (No. 10)
Symmetry-distinct sites (fractional):
1 La 0.0000 0.0000 0.0000
2 La 0.5000 0.5000 0.5000
3 Pr 0.0001 0.5000 0.2510
4 Pr 0.4992 0.0000 0.7483
5 Sm 0.5000 0.5000 0.0000
6 Ho 0.0000 0.0000 0.5000

The value obtained for the electronic total energy is -4.7651 eV/atom. The formation energy comes out at 2 kJ per mole of atoms. The size of the total moment is 0.0000 μB per atom.